Record 1
VASP calculation (SCAN) on Sc2CdPb at its PBEsol-relaxed geometry.

Geometry as POSCAR:
```
Sc2CdPb
1.0
-2.2749 2.2749 4.2166
2.2749 -2.2749 4.2166
2.2749 2.2749 -4.2166
Sc Cd Pb
2 1 1
direct
0.2500 0.7500 0.5000
0.7500 0.2500 0.5000
0.0000 0.0000 0.0000
0.5000 0.5000 0.0000
```

## Properties
ΔH_f (0 K): -2.0 eV/f.u.
Space group: I4/mmm


Record 2
VASP calculation (SCAN) on Sc2CdPb at its PBEsol-relaxed geometry.

Geometry as POSCAR:
```
Sc2CdPb
1.0
4.5752 0.0000 0.0000
0.0000 4.5752 0.0000
0.0000 0.0000 4.1864
Sc Cd Pb
2 1 1
direct
0.0000 0.5000 0.0000
0.5000 0.0000 0.0000
0.0000 0.0000 0.5000
0.5000 0.5000 0.5000
```

## Properties
ΔH_f (0 K): -2.0 eV/f.u.
Space group: P4/mmm


Record 3
VASP calculation (SCAN) on Sc2CdPb at its PBEsol-relaxed geometry.

Geometry as POSCAR:
```
Sc2CdPb
1.0
4.7044 -1.6779 0.0000
4.7044 1.6779 0.0000
-1.1348 0.0000 5.9463
Sc Cd Pb
2 1 1
direct
0.2496 0.2496 0.2376
0.7504 0.7504 0.7624
0.5000 0.5000 0.0000
0.0000 0.0000 0.5000
```

## Properties
ΔH_f (0 K): -1.3 eV/f.u.
Space group: C2/m


Record 4
VASP calculation (SCAN) on ScCd2Pb at its PBEsol-relaxed geometry.

Geometry as POSCAR:
```
ScCd2Pb
1.0
4.3181 0.0000 0.0000
0.0000 4.3181 0.0000
0.0000 0.0000 4.6934
Sc Cd Pb
1 2 1
direct
0.0000 0.0000 0.0000
0.0000 0.5000 0.5000
0.5000 0.0000 0.5000
0.5000 0.5000 0.0000
```

## Properties
ΔH_f (0 K): -1.4 eV/f.u.
Space group: P4/mmm


Record 5
VASP calculation (SCAN) on Sc2CdPb at its PBEsol-relaxed geometry.

Geometry as POSCAR:
```
Sc2CdPb
1.0
3.2993 0.0000 0.0000
0.0000 4.0653 0.0000
0.0000 0.0000 6.5603
Sc Cd Pb
2 1 1
direct
0.0000 0.0000 0.2453
0.0000 0.0000 0.7547
0.5000 0.5000 0.0000
0.5000 0.5000 0.5000
```

## Properties
ΔH_f (0 K): -2.0 eV/f.u.
Space group: Pmmm


Record 6
VASP calculation (SCAN) on ScCd2Pb at its PBEsol-relaxed geometry.

Geometry as POSCAR:
```
ScCd2Pb
1.0
0.0000 3.5669 3.5669
3.5669 0.0000 3.5669
3.5669 3.5669 0.0000
Sc Cd Pb
1 2 1
direct
0.0000 0.0000 0.0000
0.2500 0.2500 0.2500
0.5000 0.5000 0.5000
0.7500 0.7500 0.7500
```

## Properties
ΔH_f (0 K): -0.4 eV/f.u.
Space group: F-43m